{
  "formula": "FeSCl2",
  "functional": "meta-GGA SCAN",
  "state": "single point on PBEsol structure",
  "cell": [[5.911, 1.642, 2.325], [-1.525, 5.942, -2.325], [-1.525, -4.178, 4.822]],
  "species": ["Cl", "Cl", "Cl", "Cl", "Fe", "Fe", "S", "S"],
  "fractional_positions": [[0.337, 0.375, 0.212], [0.163, 0.788, 0.125], [0.663, 0.875, 0.038], [0.837, 0.962, 0.625], [0.000, 0.000, 0.000], [0.500, 0.750, 0.250], [0.000, 0.500, 0.500], [0.500, 0.250, 0.750]],
  "e_form_raw_ev_per_atom": -0.21,
  "space_group": "I-42d (122)",
  "dft_energy_ev_per_cell": -89.12,
  "rho_g_cm3": 3.18,
  "crystal_system": "tetragonal",
  "magnetic_moment_mub_per_fu": 3.68
}